BaVC2, relaxed, DFT PBE-GGA; energy = -21.699 eV for the cell shown; symmetry = No. 225; M_tot = 0.652 μB/atom; energy of formation = 752 kJ/mol of formula units
1.0
-3.875 -2.160 0.587
-2.531 0.878 3.585
-3.875 2.186 -0.478
C V Ba
2 1 1
Direct
0.750 0.750 0.750
0.250 0.250 0.250
0.000 0.000 0.000
0.500 0.500 0.500